(1)
First-principles (GGA-PBE) data for a geometry-optimized MgTc2Te structure, as listed in Alexandria via LeMat-Bulk.

Geometry as CIF:
```
data_MgTc2Te
_space_group_name_H-M_alt 'P 4 m m'
_space_group_IT_number 99
_space_group_name_Hall 'P 4 -2'
_cell_length_a 3.079
_cell_length_b 3.079
_cell_length_c 8.131
_cell_angle_alpha 90.00
_cell_angle_beta 90.00
_cell_angle_gamma 90.00
loop_
_atom_site_label
_atom_site_type_symbol
_atom_site_fract_x
_atom_site_fract_y
_atom_site_fract_z
_atom_site_occupancy
Mg1 Mg 0.000 0.000 0.000 1
Tc1 Tc 0.000 0.000 0.401 1
Tc2 Tc 0.500 0.500 0.219 1
Te1 Te 0.500 0.500 0.636 1
```

Summary:
final energy: -6.23 eV per atom
polymorph energy (0 for the lowest one): 0 meV per atom
uncorrected formation energy: 53 kJ/mol of formula units

---

(2)
First-principles (GGA-PBE) data for a geometry-optimized BeICl2 structure, as listed in Alexandria via LeMat-Bulk.

Geometry as CIF:
```
data_BeICl2
_space_group_name_H-M_alt 'I -4 2 d'
_space_group_IT_number 122
_space_group_name_Hall 'I -4 2bw'
_cell_length_a 6.669
_cell_length_b 6.669
_cell_length_c 9.343
_cell_angle_alpha 90.00
_cell_angle_beta 90.00
_cell_angle_gamma 90.00
loop_
_atom_site_label
_atom_site_type_symbol
_atom_site_fract_x
_atom_site_fract_y
_atom_site_fract_z
_atom_site_occupancy
Be1 Be 0.000 0.000 0.000 1
I1 I 0.000 0.000 0.500 1
Cl1 Cl 0.035 0.250 0.125 1
```

Summary:
final energy: -2.89 eV per atom
polymorph energy (0 for the lowest one): 132 meV per atom
uncorrected formation energy: -248 kJ/mol of formula units

---

(3)
First-principles (GGA-PBE) data for a geometry-optimized Mo3Br structure, as listed in Alexandria via LeMat-Bulk.

Geometry as CIF:
```
data_Mo3Br
_space_group_name_H-M_alt 'C m m m'
_space_group_IT_number 65
_space_group_name_Hall '-C 2 2'
_cell_length_a 5.156
_cell_length_b 8.623
_cell_length_c 2.984
_cell_angle_alpha 90.00
_cell_angle_beta 90.00
_cell_angle_gamma 90.00
loop_
_atom_site_label
_atom_site_type_symbol
_atom_site_fract_x
_atom_site_fract_y
_atom_site_fract_z
_atom_site_occupancy
Mo1 Mo 0.000 0.000 0.000 1
Mo2 Mo 0.250 0.250 0.500 1
Br1 Br 0.000 0.500 0.000 1
```

Summary:
final energy: -7.61 eV per atom
polymorph energy (0 for the lowest one): 498 meV per atom
uncorrected formation energy: 358 kJ/mol of formula units

---

(4)
First-principles (GGA-PBE) data for a geometry-optimized ZnCdFeCl2 structure, as listed in Alexandria via LeMat-Bulk.

Geometry as CIF:
```
data_ZnCdFeCl2
_space_group_name_H-M_alt 'P 4/m m m'
_space_group_IT_number 123
_space_group_name_Hall '-P 4 2'
_cell_length_a 4.720
_cell_length_b 4.720
_cell_length_c 5.618
_cell_angle_alpha 90.00
_cell_angle_beta 90.00
_cell_angle_gamma 90.00
loop_
_atom_site_label
_atom_site_type_symbol
_atom_site_fract_x
_atom_site_fract_y
_atom_site_fract_z
_atom_site_occupancy
Zn1 Zn 0.000 0.000 0.000 1
Cd1 Cd 0.500 0.500 0.500 1
Fe1 Fe 0.000 0.000 0.500 1
Cl1 Cl 0.000 0.500 0.000 1
```

Summary:
final energy: -2.62 eV per atom
uncorrected formation energy: 122 kJ/mol of formula units

---

> Among the records above, which one has the highest uncorrected formation energy?

Mo3Br